{"formula": "Sr4CdO5", "functional": "PBE-GGA", "state": "optimized geometry", "formation_energy_uncorrected_ev_per_atom": -2.383, "e_tot_ev_per_atom": -5.63, "lattice": [[-3.8283, 2.4140, -2.4723], [0.1946, -0.5671, -6.2337], [-5.1039, -3.5139, -0.9063]], "species": ["Sr", "Sr", "Sr", "Sr", "Cd", "O", "O", "O", "O", "O"], "frac_coords": [[0.3998, 0.3982, 0.8053], [0.7980, 0.8053, 0.6018], [0.2051, 0.1947, 0.3982], [0.6033, 0.6018, 0.1947], [0.0079, 0.0000, 0.0000], [0.9038, 0.3911, 0.8025], [0.2949, 0.8025, 0.6089], [0.7063, 0.1975, 0.3911], [0.0974, 0.6089, 0.1975], [0.4936, 0.0000, 0.0000]]}

---

{"formula": "K2CoAs", "functional": "PBE-GGA", "state": "optimized geometry", "e_tot_ev_per_atom": -2.96, "delta_e_f_ev_per_atom": 0.525, "lattice": [[4.5120, 0.0000, 0.0000], [0.0000, 4.5677, 0.0000], [0.0000, 0.0000, 5.2919]], "species": ["As", "Co", "K", "K"], "frac_coords": [[0.5000, 0.5000, 0.2500], [0.5000, 0.5000, 0.7500], [0.0000, 0.0000, 0.0017], [0.0000, 0.0000, 0.4983]]}

---

{"formula": "LuPuSc2", "functional": "PBE-GGA", "state": "optimized geometry", "e_above_lowest_polymorph_mev_per_atom": 32, "e_tot_ev_per_atom": -7.75, "delta_e_f_ev_per_atom": 0.131, "lattice": [[-4.5253, 2.7221, 0.2099], [-2.9089, -0.0456, 4.4122], [-0.3338, 4.3451, 2.9901]], "species": ["Sc", "Sc", "Lu", "Pu"], "frac_coords": [[0.2500, 0.2500, 0.2500], [0.7500, 0.7500, 0.7500], [0.5000, 0.5000, 0.5000], [0.0000, 0.0000, 0.0000]]}

---

{"formula": "KNaAlCd", "functional": "PBE-GGA", "state": "optimized geometry", "e_tot_ev_per_atom": -1.61, "delta_e_f_ev_per_atom": 0.155, "lattice": [[5.3964, 0.0000, 0.0000], [2.6982, 4.6734, 0.0000], [2.6982, 1.5578, 4.4061]], "species": ["Na", "K", "Al", "Cd"], "frac_coords": [[0.2500, 0.2500, 0.2500], [0.5000, 0.5000, 0.5000], [0.0000, 0.0000, 0.0000], [0.7500, 0.7500, 0.7500]]}

---

{"formula": "CaLaZn3", "functional": "PBE-GGA", "state": "optimized geometry", "e_above_lowest_polymorph_mev_per_atom": 808, "e_tot_ev_per_atom": -1.64, "delta_e_f_ev_per_atom": 0.508, "lattice": [[5.5531, 0.0000, 0.0000], [0.0000, 5.5531, 0.0000], [0.0000, 0.0000, 5.5531]], "species": ["Zn", "Zn", "Zn", "Ca", "La"], "frac_coords": [[0.0000, 0.5000, 0.0000], [0.0000, 0.0000, 0.5000], [0.5000, 0.0000, 0.0000], [0.5000, 0.5000, 0.5000], [0.0000, 0.0000, 0.0000]]}

---

{"formula": "Sb2TeSO", "functional": "PBE-GGA", "state": "optimized geometry", "formation_energy_uncorrected_ev_per_atom": 0.347, "e_above_lowest_polymorph_mev_per_atom": 0, "e_tot_ev_per_atom": -3.75, "lattice": [[-3.4586, 3.1709, -1.6467], [-2.5944, -3.8045, -1.8769], [-2.2458, -0.4079, 3.9313]], "species": ["Sb", "Sb", "S", "Te", "O"], "frac_coords": [[0.0000, 0.5000, 0.0000], [0.5000, 0.0000, 0.0000], [0.5000, 0.5000, 0.5000], [0.0000, 0.0000, 0.5000], [0.0000, 0.0000, 0.0000]]}